1.
A relaxed structure of La2Ta, computed with PBE-GGA.

Results
M_tot	0.00	μB per atom
relative energy among the computed polymorphs	0.487	eV per atom

Cell and atoms, written as extended XYZ:
```
12
Lattice="7.018 0.000 0.000 3.509 6.078 0.000 0.000 0.000 8.087" Properties=species:S:1:pos:R:3 pbc="T T T"
La 5.076 1.121 2.022
La 0.000 0.000 4.044
La 8.585 4.956 6.065
La 7.018 2.243 6.065
La 3.509 3.835 2.022
La 1.942 1.121 2.022
La 0.000 0.000 0.000
La 5.451 4.956 6.065
Ta 3.509 2.026 4.845
Ta 3.509 2.026 7.285
Ta 7.018 4.052 3.242
Ta 7.018 4.052 0.802
```

---

2.
A relaxed structure of K2CrSiS4, computed with PBE-GGA.

Results
M_tot	0.50	μB per atom
E	-5.128	eV/atom

Cell and atoms, written as extended XYZ:
```
8
Lattice="7.087 0.000 -0.004 -0.001 7.087 -0.004 -3.540 -3.542 3.938" Properties=species:S:1:pos:R:3 pbc="T T T"
K 0.001 3.546 3.820
K 0.001 0.001 1.856
S 5.080 2.546 0.713
S 2.547 2.008 2.991
S -2.543 -2.005 2.997
S 2.006 4.542 0.714
Si 3.544 3.545 1.852
Cr 3.546 0.002 3.819
```

---

3.
A relaxed structure of Na3Mn3ReS8, computed with PBE-GGA.

Results
M_tot	0.61	μB per atom
E	-5.817	eV/atom

Cell and atoms, written as extended XYZ:
```
15
Lattice="7.059 0.003 -0.002 -3.525 6.118 -0.017 -0.005 -4.052 6.715" Properties=species:S:1:pos:R:3 pbc="T T T"
S 1.763 3.081 4.664
S -1.762 3.079 4.668
S 3.526 0.031 4.707
S -0.007 0.011 4.678
S 3.535 2.057 2.019
S 0.003 2.037 1.989
S 1.765 -1.013 2.032
S 5.291 -1.012 2.029
Na 1.767 3.060 -0.009
Na -1.762 3.059 -0.008
Na 0.000 0.000 0.000
Mn 3.527 -2.025 3.357
Mn 1.764 1.034 3.348
Mn -1.765 1.033 3.349
Re -0.003 -2.026 3.358
```